A relaxed structure of LiVP2O7. Source: Alexandria via LeMat-Bulk, functional GGA+U.

Summary:
Total moment in μB/cell: 4.00
D(E_F) in states/eV/atom: 0.000
Uncorrected energy in eV per atom: -7.2320

Lattice parameters (Å, degrees): 5.0952 6.8191 8.3190 68.71 87.52 87.64
Element x y z (fractional)
P (0.2360, 0.1126, 0.1743)
P (0.7202, 0.5458, 0.6876)
P (0.2822, 0.4555, 0.3064)
P (0.7622, 0.8913, 0.8296)
V (0.7584, 0.7925, 0.2718)
V (0.2407, 0.2229, 0.7288)
O (0.9528, 0.0658, 0.2475)
O (0.1170, 0.6584, 0.2232)
O (0.2858, 0.3511, 0.1596)
O (0.8267, 0.7060, 0.5180)
O (0.9065, 0.3582, 0.7662)
O (0.5867, 0.0554, 0.6970)
O (0.4392, 0.4820, 0.6797)
O (0.2698, 0.1164, 0.9910)
O (0.7055, 0.6640, 0.8246)
O (0.6793, 0.8548, 0.0174)
O (0.4405, 0.9686, 0.2936)
O (0.1524, 0.2978, 0.4698)
O (0.5703, 0.4963, 0.3262)
O (0.0557, 0.9342, 0.7896)
Li (0.2775, 0.8211, 0.9997)
Li (0.7913, 0.1832, 0.4324)